AlSnMoO6 | GGA+U | relaxed

abc: 5.046 5.046 9.009
angles: 90.00 90.00 120.00
Fractional positions:
Al 0.333 0.667 0.250
Al 0.667 0.333 0.750
Sn 0.000 0.000 0.000
Sn 0.000 0.000 0.500
Mo 0.333 0.667 0.750
Mo 0.667 0.333 0.250
O 0.011 0.353 0.133
O 0.011 0.658 0.367
O 0.342 0.353 0.367
O 0.342 0.989 0.133
O 0.353 0.011 0.633
O 0.353 0.342 0.867
O 0.647 0.658 0.133
O 0.647 0.989 0.367
O 0.658 0.011 0.867
O 0.658 0.647 0.633
O 0.989 0.342 0.633
O 0.989 0.647 0.867

Total DFT energy (no corrections) (eV/atom): -6.8668
Space-group type: No. 163
Size of the total moment (μB/f.u.): 1.00